A plane-wave DFT calculation with GGA+U was carried out for an optimized crystal structure of Mn2Mo2NO10.

Computed properties:
uncorrected energy: -0.2448 Ha/atom

```
Mn2Mo2NO10
1.0
1.697 -2.154 5.105
5.566 -1.475 0.651
3.939 6.343 4.390
O Mn Mo N
10 2 2 1
direct
0.806 0.320 0.693 O
0.680 0.194 0.307 O
0.189 0.189 0.413 O
0.320 0.806 0.693 O
0.672 0.672 0.390 O
0.653 0.653 0.049 O
0.194 0.680 0.307 O
0.811 0.811 0.587 O
0.347 0.347 0.951 O
0.328 0.328 0.610 O
0.500 0.000 0.500 Mn
0.000 0.500 0.500 Mn
0.446 0.446 0.743 Mo
0.554 0.554 0.257 Mo
0.000 0.000 0.000 N
```